Li4Co3OF11 after structural relaxation. Source: the Alexandria database, functional GGA+U.

## Properties
Relative energy among the computed polymorphs   0.00 kcal/mol of atoms
Total magnetization   4.062 μB per cell
Symmetry   P1 (1)
E   -4.814 eV/atom

a b c (Å): 5.6561 5.9139 6.3508
angles (deg): 99.91 100.88 96.67
Positions (direct):
Li  0.0000  0.0000  0.0000
Li  0.1851  0.2625  0.5932
Li  0.4703  0.8148  0.7803
Li  0.7157  0.2969  0.8187
Co  0.2860  0.5198  0.1063
Co  0.5673  0.0394  0.3106
Co  0.8642  0.6686  0.4614
O  0.5617  0.7141  0.3159
F  0.0550  0.2723  0.8613
F  0.1761  0.6138  0.5864
F  0.2731  0.8360  0.0311
F  0.3016  0.2455  0.2496
F  0.4576  0.0676  0.5992
F  0.4853  0.4804  0.9038
F  0.6860  0.0796  0.0502
F  0.7439  0.3476  0.4759
F  0.8013  0.7681  0.7480
F  0.9424  0.9915  0.4254
F  0.9851  0.5615  0.1833